(1)
Here is an optimized crystal structure of PaBiPd4 from the Alexandria database. Energies are from GGA-PBE.

Results
Volume ... 236.2 Å³ per cell
ΔH_f (0 K) ... -2.683 eV per formula unit

a = 5.6403 Å, b = 5.7795 Å, c = 7.2703 Å
α = 90.00°, β = 94.66°, γ = 90.00°
Space group P2_1/m (No. 11)
Asymmetric unit:
Pa (0.1999, 0.2500, 0.4923)
Bi (0.3282, 0.7500, 0.1704)
Pd (0.1195, 0.5007, 0.8184)
Pd (0.3207, 0.7500, 0.5571)
Pd (0.3451, 0.2500, 0.1437)



(2)
Here is an optimized crystal structure of RbScTe2Au from the Alexandria database. Energies are from GGA-PBE.

Results
Volume ... 332.7 Å³ per cell
Formation energy without anion corrections ... -76 kJ per mole of atoms

a = 8.9156 Å, b = 5.9430 Å, c = 6.7864 Å
α = 90.00°, β = 112.30°, γ = 90.00°
Space group P2/c (No. 13)
Asymmetric unit:
Rb (0.0000, 0.2165, 0.2500)
Sc (0.5000, 0.4984, 0.2500)
Te (0.2578, 0.2902, 0.8781)
Au (0.5000, 0.0000, 0.0000)



(3)
Here is an optimized crystal structure of Cs2SrSeBr6 from the Alexandria database. Energies are from GGA-PBE.

Results
Volume ... 866.0 Å³ per cell
Formation energy without anion corrections ... -126 kJ per mole of atoms

a = 7.9488 Å, b = 7.9488 Å, c = 13.7064 Å
α = 90.00°, β = 90.00°, γ = 90.00°
Space group I4/mmm (No. 139)
Asymmetric unit:
Cs (0.0000, 0.5000, 0.2500)
Sr (0.0000, 0.0000, 0.0000)
Se (0.0000, 0.0000, 0.5000)
Br (0.0000, 0.0000, 0.2164)
Br (0.2303, 0.2303, 0.5000)



(4)
Here is an optimized crystal structure of LiHf from the Alexandria database. Energies are from GGA-PBE.

Results
Volume ... 151.4 Å³ per cell
ΔH_f (0 K) ... 1.598 eV per formula unit
Energy above the lowest structure with this stoichiometry ... 0.949 eV/f.u.

a = 5.3026 Å, b = 5.3026 Å, c = 5.3830 Å
α = 90.00°, β = 90.00°, γ = 90.00°
Space group P4_2/mnm (No. 136)
Asymmetric unit:
Li (0.1759, 0.1759, 0.0000)
Hf (0.1916, 0.1916, 0.5000)



Calculated values (eV per atom) of calculated total energy for the records, taken in order: -6.1385; -4.1589; -3.0005; -5.1348.